VASP calculation (PBE+U) on Ac2ErMo3O12 after structural relaxation.

- Spin magnetization: 0.1667 μB per atom
- Crystal system: trigonal
- Calculated total energy: -135.707 eV for the cell shown

a b c (Å): 6.810 6.810 6.810
angles (deg): 65.43 65.43 65.43
Each line ends with the local moment (μB).
Sites, in units of the cell vectors:
Ac: 0.616 0.616 0.616  0.01
Ac: 0.384 0.384 0.384  0.01
Er: 0.000 0.000 0.000  0.01
Mo: 0.500 0.000 0.000  0.98
Mo: 0.000 0.500 0.000  0.98
Mo: 0.000 0.000 0.500  0.98
O: 0.272 0.272 0.867  0.02
O: 0.855 0.855 0.432  -0.03
O: 0.432 0.855 0.855  -0.03
O: 0.867 0.272 0.272  0.02
O: 0.855 0.432 0.855  -0.03
O: 0.272 0.867 0.272  0.02
O: 0.728 0.728 0.133  0.02
O: 0.145 0.145 0.568  -0.03
O: 0.568 0.145 0.145  -0.03
O: 0.133 0.728 0.728  0.02
O: 0.145 0.568 0.145  -0.03
O: 0.728 0.133 0.728  0.02